GGA-PBE LiInFe2Cl8, relaxed; volume = 250.5 Å³ per cell; raw total energy = -3.805 eV per atom; symmetry = No. 65; formation energy without anion corrections = -776 meV per atom
1.0
-5.5449 1.2897 1.6249
-1.8405 -5.5812 -0.7163
1.6684 -1.4220 6.8131
Li In Fe Cl
1 1 2 8
direct
0.0000 0.0000 0.0000
0.0000 0.0000 0.5000
0.5000 0.5000 0.2451
0.5000 0.5000 0.7549
0.7847 0.2155 0.7613
0.6743 0.6743 0.0001
0.6737 0.6737 0.5001
0.3263 0.3263 0.4999
0.3257 0.3257 0.9999
0.2155 0.7847 0.7613
0.7845 0.2153 0.2387
0.2153 0.7845 0.2387